A plane-wave DFT calculation with PBE was carried out for an optimized crystal structure of Nb2Mo5W5.

Results
- E_form: -0.07 eV/atom

The structure in extended XYZ format:
```
12
Lattice="4.791 -2.264 0.000 4.791 2.264 0.000 -3.179 0.000 9.023" Properties=species:S:1:pos:R:3 pbc="T T T"
Nb 0.006 0.000 2.247
Nb 6.398 0.000 6.776
Mo -1.589 0.000 4.512
Mo -1.567 0.000 9.012
Mo 0.002 0.000 6.770
Mo 6.402 0.000 2.253
Mo 7.971 0.000 0.011
W 1.616 0.000 4.526
W 3.178 0.000 2.254
W 4.791 0.000 0.000
W 3.226 0.000 6.769
W 4.788 0.000 4.497
```

***

A plane-wave DFT calculation with PBE was carried out for an optimized crystal structure of Nb3Mo4W4.

Results
- E_form: -0.08 eV/atom

The structure in extended XYZ format:
```
11
Lattice="2.784 0.000 0.000 -0.003 4.529 0.000 -0.946 -2.254 14.393" Properties=species:S:1:pos:R:3 pbc="T T T"
Nb 0.000 0.000 0.000
Nb 0.004 2.268 3.947
Nb 1.831 0.008 10.446
Mo 0.934 2.266 1.318
Mo 0.918 0.004 5.258
Mo 0.917 2.271 9.135
Mo 0.901 0.009 13.075
W 0.003 0.006 7.829
W 0.004 2.274 11.772
W 1.831 0.001 2.621
W 1.833 2.269 6.565
```

***

A plane-wave DFT calculation with PBE was carried out for an optimized crystal structure of Nb2Mo4W5.

Results
- E_form: 0.07 eV/atom

The structure in extended XYZ format:
```
11
Lattice="2.742 0.000 0.000 -0.941 6.968 0.000 -0.865 -0.515 9.514" Properties=species:S:1:pos:R:3 pbc="T T T"
Nb 0.134 1.487 1.759
Nb 0.802 4.967 7.755
Mo 0.065 5.977 0.913
Mo -0.009 4.474 5.166
Mo 0.945 1.980 4.349
Mo 0.872 0.477 8.601
W -0.470 3.484 0.000
W -0.855 2.459 6.859
W 0.025 0.001 6.020
W 0.911 6.453 3.494
W 1.791 3.995 2.655
```